Here is HgBrCl after structural relaxation from Alexandria. Energies are from PBE-GGA.

For the volume, the calculation gives 35.62 A^3/atom. As for the total energy: -21.55 eV/cell. As for the density of states at the Fermi level: 0.00 states/eV per cell. The value obtained for the uncorrected formation energy is -0.52 eV per atom.

It has space group P2_12_12_1 (No. 19), with a = 4.1973 Å, b = 7.6534 Å, c = 13.3042 Å, α = 90.00°, β = 90.00° and γ = 90.00°. Symmetry generates all atoms from Hg at (0.1052, 0.1265, 0.3670), Br at (0.2399, 0.2834, 0.7689) and Cl at (0.0494, 0.9713, 0.9945).